5
Lattice="5.785 0.000 0.000 0.000 5.785 0.000 0.000 0.000 5.785" Properties=species:S:1:pos:R:3 comment="Tl3FeCl (PBE, optimized geometry)" e_form_raw_ev_per_atom=0.61 dos_at_fermi_per_ev_atom=1.6708 rho_g_cm3=6.04 vol_a3_per_atom=38.7 relative_energy_ev_per_fu=3.08 pbc="T T T"
Tl 0.000 0.000 2.892
Tl 0.000 2.892 0.000
Tl 2.892 0.000 0.000
Fe 2.892 2.892 2.892
Cl 0.000 0.000 0.000